VASP calculation (PBE) on a relaxed Zr2GeSbSe crystal.

Structure (extended XYZ):
```
5
Lattice="-1.889 -4.171 -2.882 3.437 0.892 -3.544 3.459 -3.309 2.521" Properties=species:S:1:pos:R:3 pbc="T T T"
Sb 0.000 0.000 0.000
Zr 1.729 -1.655 1.261
Zr -0.945 -2.085 -1.441
Se 2.503 -3.294 -1.953
Ge 1.719 0.446 -1.772
```

Properties
Crystal system ... tetragonal
Fermi-level density of states ... 6.4 states/eV/f.u.
Final energy ... -25.66 eV/cell

***

VASP calculation (PBE) on a relaxed SrLi6MgAl crystal.

Structure (extended XYZ):
```
18
Lattice="10.013 0.000 0.000 0.000 5.180 0.000 -5.006 -2.590 8.734" Properties=species:S:1:pos:R:3 pbc="T T T"
Li 0.000 3.885 0.582
Sr 5.006 1.295 5.585
Li 2.658 -0.034 1.411
Li 2.349 2.623 7.323
Li 7.355 2.623 1.411
Li 5.006 1.295 2.434
Sr 0.000 1.295 3.149
Li 5.006 -1.295 8.152
Al 5.006 2.590 0.000
Al 5.006 0.000 0.000
Mg 2.503 -1.295 4.367
Mg -2.503 -1.295 4.367
Li 2.658 2.623 1.411
Li 0.000 1.295 6.300
Li 2.349 -0.034 7.323
Li 7.355 -0.034 1.411
Li -2.349 2.623 7.323
Li -2.349 -0.034 7.323
```

Properties
Crystal system ... orthorhombic
DFT formation energy ... 14.6 kJ/mol of atoms
Fermi-level density of states ... 6.1 states/eV/f.u.

***

VASP calculation (PBE) on a relaxed AcPuPd crystal.

Structure (extended XYZ):
```
12
Lattice="5.027 0.000 0.000 -2.513 4.353 0.000 0.000 0.000 15.630" Properties=species:S:1:pos:R:3 pbc="T T T"
Pd 2.513 1.451 9.539
Ac 0.000 0.000 3.907
Ac 0.000 0.000 0.000
Pu 2.513 1.451 1.665
Pu 2.513 1.451 6.149
Pd 0.000 2.902 6.091
Ac 0.000 0.000 7.815
Ac 0.000 0.000 11.722
Pu 0.000 2.902 9.480
Pd 2.513 1.451 13.906
Pu 0.000 2.902 13.964
Pd 0.000 2.902 1.724
```

Properties
Crystal system ... hexagonal
ΔE to the lowest computed polymorph ... 51.0 meV per atom
DFT formation energy ... -18.0 kJ/mol of atoms
Fermi-level density of states ... 9.2 states/eV/f.u.

***

Asked for volume across the records above, the calculation gives 147 453 342 Å³/cell in order.